Compound: Sn4Pt3PbO12
Source: OQMD via LeMat-Bulk
Functional: PBE-GGA
Structure: relaxed

The structure in POSCAR format:
```
Sn4Pt3PbO12
1.0
-3.931 3.931 3.931
3.931 -3.931 3.931
3.931 3.931 -3.931
O Pb Pt Sn
12 1 3 4
direct
0.303 0.830 0.133
0.474 0.303 0.170
0.867 0.697 0.170
0.830 0.133 0.303
0.170 0.474 0.303
0.303 0.170 0.474
0.697 0.830 0.526
0.830 0.526 0.697
0.170 0.867 0.697
0.133 0.303 0.830
0.526 0.697 0.830
0.697 0.170 0.867
0.000 0.000 0.000
0.500 0.500 0.000
0.500 0.000 0.500
0.000 0.500 0.500
0.500 0.000 0.000
0.000 0.500 0.000
0.000 0.000 0.500
0.500 0.500 0.500
```

Computed properties:
space group	Im-3 (204)

Compound: SnPtPb2O6
Source: OQMD via LeMat-Bulk
Functional: PBE-GGA
Structure: relaxed

The structure in POSCAR format:
```
SnPtPb2O6
1.0
-0.610 -2.750 4.907
4.281 -3.197 1.863
2.954 1.778 4.486
O Pb Pt Sn
6 2 1 1
direct
0.324 0.743 0.181
0.819 0.676 0.257
0.743 0.181 0.324
0.257 0.819 0.676
0.181 0.324 0.743
0.676 0.257 0.819
0.253 0.253 0.253
0.747 0.747 0.747
0.500 0.500 0.500
0.000 0.000 0.000
```

Computed properties:
space group	R-3 (148)

Compound: TbPtPb2O6
Source: OQMD via LeMat-Bulk
Functional: PBE-GGA
Structure: relaxed

The structure in POSCAR format:
```
TbPtPb2O6
1.0
5.840 0.000 0.000
0.000 5.820 0.000
-5.784 0.000 8.204
O Pb Pt Tb
12 4 2 2
direct
0.854 0.779 0.045
0.781 0.300 0.051
0.325 0.480 0.235
0.675 0.980 0.265
0.219 0.800 0.449
0.146 0.279 0.455
0.854 0.721 0.545
0.781 0.200 0.551
0.325 0.020 0.735
0.675 0.520 0.765
0.219 0.700 0.949
0.146 0.221 0.955
0.237 0.033 0.246
0.763 0.533 0.254
0.237 0.467 0.746
0.763 0.967 0.754
0.000 0.500 0.000
0.000 0.000 0.500
0.500 0.000 0.000
0.500 0.500 0.500
```

Computed properties:
space group	P2_1/c (14)

Compound: Re2Pb2O7
Source: OQMD via LeMat-Bulk
Functional: PBE-GGA
Structure: relaxed

The structure in POSCAR format:
```
Re2Pb2O7
1.0
5.260 5.260 0.000
-5.260 0.000 5.260
5.260 -5.260 0.000
O Pb Re
14 4 4
direct
0.375 0.250 0.125
0.935 0.370 0.185
0.315 0.750 0.185
0.935 0.750 0.185
0.685 0.250 0.435
0.685 0.870 0.435
0.065 0.250 0.435
0.315 0.130 0.565
0.315 0.750 0.565
0.935 0.750 0.565
0.065 0.250 0.815
0.685 0.250 0.815
0.065 0.630 0.815
0.625 0.750 0.875
0.000 0.000 0.000
0.500 0.000 0.000
0.500 0.500 0.000
0.500 0.500 0.500
0.000 0.500 0.000
0.000 0.000 0.500
0.500 0.000 0.500
0.000 0.500 0.500
```

Computed properties:
space group	Fd-3m (227)

Compound: Re2Pb2O5
Source: OQMD via LeMat-Bulk
Functional: PBE-GGA
Structure: relaxed

The structure in POSCAR format:
```
Re2Pb2O5
1.0
7.941 0.000 0.000
0.000 3.917 0.000
0.000 0.000 3.917
O Pb Re
5 2 2
direct
0.238 0.500 0.000
0.762 0.500 0.000
0.238 0.000 0.500
0.762 0.000 0.500
0.500 0.500 0.500
0.000 0.000 0.000
0.500 0.000 0.000
0.226 0.500 0.500
0.774 0.500 0.500
```

Computed properties:
space group	P4/mmm (123)

Compound: Re2PbO6
Source: OQMD via LeMat-Bulk
Functional: PBE-GGA
Structure: relaxed

The structure in POSCAR format:
```
Re2PbO6
1.0
0.000 6.014 -3.718
5.208 -3.007 -3.718
-5.208 -3.007 -3.718
O Pb Re
18 3 6
direct
0.711 0.289 0.000
0.289 0.711 0.000
0.096 0.381 0.096
0.381 0.096 0.096
0.626 0.626 0.167
0.711 0.000 0.289
0.000 0.711 0.289
0.833 0.374 0.374
0.374 0.833 0.374
0.096 0.096 0.381
0.904 0.904 0.619
0.167 0.626 0.626
0.626 0.167 0.626
0.289 0.000 0.711
0.000 0.289 0.711
0.374 0.374 0.833
0.619 0.904 0.904
0.904 0.619 0.904
0.000 0.000 0.000
0.331 0.331 0.331
0.669 0.669 0.669
0.500 0.850 0.150
0.850 0.500 0.150
0.850 0.150 0.500
0.150 0.850 0.500
0.150 0.500 0.850
0.500 0.150 0.850
```

Computed properties:
space group	R-3m (166)

Compound: Re2Pb2O5
Source: OQMD via LeMat-Bulk
Functional: PBE-GGA
Structure: relaxed

The structure in POSCAR format:
```
Re2Pb2O5
1.0
-4.305 6.782 -7.358
0.351 -2.374 -2.394
-3.094 -1.183 0.720
O Pb Re
5 2 2
direct
0.105 0.500 0.000
0.895 0.500 0.000
0.105 0.000 0.500
0.895 0.000 0.500
0.500 0.500 0.500
0.263 0.500 0.500
0.737 0.500 0.500
0.000 0.000 0.000
0.500 0.000 0.000
```

Computed properties:
space group	P4/mmm (123)

Compound: ReSbPb2O6
Source: OQMD via LeMat-Bulk
Functional: PBE-GGA
Structure: relaxed

The structure in POSCAR format:
```
ReSbPb2O6
1.0
-5.070 0.592 2.948
-4.994 1.125 -2.921
-4.162 -4.152 -0.431
O Pb Re Sb
6 2 1 1
direct
0.765 0.235 0.235
0.235 0.765 0.235
0.765 0.765 0.235
0.235 0.235 0.765
0.765 0.235 0.765
0.235 0.765 0.765
0.250 0.250 0.250
0.750 0.750 0.750
0.000 0.000 0.000
0.500 0.500 0.500
```

Computed properties:
space group	Fm-3m (225)

Compound: ReSnPb2O6
Source: OQMD via LeMat-Bulk
Functional: PBE-GGA
Structure: relaxed

The structure in POSCAR format:
```
ReSnPb2O6
1.0
0.000 4.058 4.058
4.058 0.000 4.058
4.058 4.058 0.000
O Pb Re Sn
6 2 1 1
direct
0.752 0.248 0.248
0.248 0.752 0.248
0.752 0.752 0.248
0.248 0.248 0.752
0.752 0.248 0.752
0.248 0.752 0.752
0.250 0.250 0.250
0.750 0.750 0.750
0.000 0.000 0.000
0.500 0.500 0.500
```

Computed properties:
space group	Fm-3m (225)

Compound: TbRePb2O6
Source: OQMD via LeMat-Bulk
Functional: PBE-GGA
Structure: relaxed

The structure in POSCAR format:
```
TbRePb2O6
1.0
-4.526 -3.820 -0.265
3.445 -4.219 1.979
2.361 5.657 7.946
O Pb Re Tb
12 4 2 2
direct
0.833 0.742 0.044
0.801 0.218 0.050
0.310 0.000 0.231
0.690 0.500 0.269
0.199 0.718 0.450
0.167 0.242 0.456
0.833 0.758 0.544
0.801 0.282 0.550
0.310 0.500 0.731
0.690 0.000 0.769
0.199 0.782 0.950
0.167 0.258 0.956
0.229 0.492 0.246
0.771 0.992 0.254
0.229 0.008 0.746
0.771 0.508 0.754
0.000 0.000 0.000
0.000 0.500 0.500
0.500 0.500 0.000
0.500 0.000 0.500
```

Computed properties:
space group	P2_1/c (14)

Compound: ReTcPb2O6
Source: OQMD via LeMat-Bulk
Functional: PBE-GGA
Structure: relaxed

The structure in POSCAR format:
```
ReTcPb2O6
1.0
2.817 1.627 4.601
-2.817 1.627 4.601
0.000 -3.253 4.601
O Pb Re Tc
6 2 1 1
direct
0.747 0.747 0.253
0.747 0.253 0.253
0.253 0.747 0.253
0.747 0.253 0.747
0.253 0.747 0.747
0.253 0.253 0.747
0.250 0.250 0.250
0.750 0.750 0.750
0.500 0.500 0.500
0.000 0.000 0.000
```

Computed properties:
space group	Fm-3m (225)

Compound: YRePb2O6
Source: OQMD via LeMat-Bulk
Functional: PBE-GGA
Structure: relaxed

The structure in POSCAR format:
```
YRePb2O6
1.0
0.000 4.148 4.148
4.148 0.000 4.148
4.148 4.148 0.000
O Pb Re Y
6 2 1 1
direct
0.766 0.234 0.234
0.234 0.766 0.234
0.766 0.766 0.234
0.234 0.234 0.766
0.766 0.234 0.766
0.234 0.766 0.766
0.250 0.250 0.250
0.750 0.750 0.750
0.000 0.000 0.000
0.500 0.500 0.500
```

Computed properties:
space group	Fm-3m (225)

Compound: Zn3Re4PbO12
Source: OQMD via LeMat-Bulk
Functional: PBE-GGA
Structure: relaxed

The structure in POSCAR format:
```
Zn3Re4PbO12
1.0
-3.814 3.814 3.814
3.814 -3.814 3.814
3.814 3.814 -3.814
O Pb Re Zn
12 1 4 3
direct
0.308 0.814 0.121
0.494 0.308 0.186
0.879 0.692 0.186
0.814 0.121 0.308
0.186 0.494 0.308
0.308 0.186 0.494
0.692 0.814 0.506
0.186 0.879 0.692
0.814 0.506 0.692
0.121 0.308 0.814
0.506 0.692 0.814
0.692 0.186 0.879
0.000 0.000 0.000
0.500 0.000 0.000
0.000 0.500 0.000
0.000 0.000 0.500
0.500 0.500 0.500
0.500 0.500 0.000
0.500 0.000 0.500
0.000 0.500 0.500
```

Computed properties:
space group	Im-3 (204)

Compound: Zn2Si3Pb4SO15
Source: OQMD via LeMat-Bulk
Functional: PBE-GGA
Structure: relaxed

The structure in POSCAR format:
```
Zn2Si3Pb4SO15
1.0
-6.075 2.065 9.275
1.458 -4.600 1.979
11.610 4.483 1.868
O Pb S Si Zn
30 8 2 6 4
direct
0.618 0.602 0.008
0.896 0.583 0.047
0.434 0.703 0.140
0.144 0.611 0.147
0.019 0.171 0.164
0.312 0.121 0.172
0.556 0.158 0.188
0.741 0.698 0.227
0.984 0.594 0.267
0.843 0.259 0.334
0.607 0.489 0.408
0.457 0.966 0.422
0.282 0.235 0.427
0.262 0.773 0.428
0.905 0.732 0.431
0.095 0.232 0.569
0.738 0.273 0.572
0.718 0.735 0.573
0.543 0.466 0.578
0.393 0.989 0.592
0.157 0.759 0.666
0.016 0.094 0.733
0.259 0.198 0.773
0.444 0.658 0.812
0.688 0.621 0.828
0.981 0.671 0.836
0.856 0.111 0.853
0.566 0.203 0.860
0.104 0.083 0.953
0.382 0.102 0.992
0.767 0.923 0.063
0.352 0.507 0.284
0.686 0.010 0.373
0.045 0.048 0.383
0.955 0.548 0.617
0.314 0.510 0.627
0.648 0.007 0.716
0.233 0.423 0.937
0.352 0.992 0.467
0.648 0.492 0.533
0.423 0.015 0.124
0.013 0.482 0.152
0.863 0.561 0.316
0.137 0.061 0.684
0.987 0.982 0.848
0.577 0.515 0.876
0.141 0.981 0.112
0.584 0.503 0.144
0.416 0.003 0.856
0.859 0.481 0.888
```

Computed properties:
space group	P2_1 (4)

Compound: SmPb2SO6
Source: OQMD via LeMat-Bulk
Functional: PBE-GGA
Structure: relaxed

The structure in POSCAR format:
```
SmPb2SO6
1.0
-4.886 -1.274 2.755
-4.938 -0.376 -2.926
-2.494 -5.123 -0.786
O Pb S Sm
6 2 1 1
direct
0.776 0.224 0.224
0.224 0.776 0.224
0.776 0.776 0.224
0.224 0.224 0.776
0.776 0.224 0.776
0.224 0.776 0.776
0.250 0.250 0.250
0.750 0.750 0.750
0.000 0.000 0.000
0.500 0.500 0.500
```

Computed properties:
space group	Fm-3m (225)

Compound: SrZn2PbS2O2
Source: OQMD via LeMat-Bulk
Functional: PBE-GGA
Structure: relaxed

The structure in POSCAR format:
```
SrZn2PbS2O2
1.0
-1.245 -2.903 -2.254
3.353 1.780 -0.804
5.785 -7.803 6.854
O Pb S Sr Zn
2 1 2 1 2
direct
0.333 0.667 0.338
0.333 0.667 0.844
0.000 0.000 0.765
0.000 0.000 0.079
0.667 0.333 0.571
0.667 0.333 0.272
0.333 0.667 0.007
0.333 0.667 0.499
```

Computed properties:
space group	P3m1 (156)

Compound: Tb2Pb2S2O5
Source: OQMD via LeMat-Bulk
Functional: PBE-GGA
Structure: relaxed

The structure in POSCAR format:
```
Tb2Pb2S2O5
1.0
7.913 -9.770 2.063
4.930 -9.579 6.801
-8.300 7.919 -5.543
O Pb S Tb
5 2 2 2
direct
0.500 0.500 0.000
0.617 0.117 0.500
0.883 0.383 0.500
0.117 0.617 0.500
0.383 0.883 0.500
0.418 0.418 0.000
0.582 0.582 0.000
0.290 0.290 0.000
0.710 0.710 0.000
0.176 0.176 0.000
0.824 0.824 0.000
```

Computed properties:
space group	I4/mmm (139)

Number 1: uncorrected energy -118.96 eV/f.u.. Number 2: uncorrected energy -56.99 eV/f.u.. Number 3: uncorrected energy -62.54 eV/f.u.. Number 4: uncorrected energy -81.07 eV/f.u.. Number 5: uncorrected energy -64.61 eV/f.u.. Number 6: uncorrected energy -71.17 eV/f.u.. Number 7: uncorrected energy -60.09 eV/f.u.. Number 8: uncorrected energy -64.64 eV/f.u.. Number 9: uncorrected energy -65.38 eV/f.u.. Number 10: uncorrected energy -72.33 eV/f.u.. Number 11: uncorrected energy -71.54 eV/f.u.. Number 12: uncorrected energy -73.78 eV/f.u.. Number 13: uncorrected energy -139.15 eV/f.u.. Number 14: uncorrected energy -159.41 eV/f.u.. Number 15: uncorrected energy -59.14 eV/f.u.. Number 16: uncorrected energy -37.19 eV/f.u.. Number 17: uncorrected energy -67.78 eV/f.u..